TbGdCd4: optimized geometry, PBE.

```
6
Lattice="-2.4763 3.4584 4.2626 2.4763 -3.4584 4.2626 2.4763 3.4584 -4.2626" Properties=species:S:1:pos:R:3 pbc="T T T"
Gd 0.0000 0.0000 4.2914
Cd 2.4763 -1.7041 2.8411
Cd 0.0000 5.2193 1.4219
Cd 2.4763 1.7041 2.8411
Cd 0.0000 1.6976 1.4219
Tb 0.0000 3.4584 4.2330
```

Calculated values
The value obtained for the calculated formation energy is -2.011 eV per formula unit. The uncorrected energy comes out at -14.9 eV/cell. The calculation puts the magnetic moment at 0.0 Bohr magnetons per cell. Its space group is Imm2 (44). Its density is 8709 kg/m³. The crystal system is orthorhombic.